No. 1
A relaxed structure of DySeBr. Source: Alexandria via LeMat-Bulk, functional PBE.

Raw formation energy, eV/atom: -1.88
E_tot, eV for the cell shown: -61.65

The structure in CIF format:
```
data_DySeBr
_cell_length_a 8.383
_cell_length_b 8.383
_cell_length_c 5.698
_cell_angle_alpha 90.00
_cell_angle_beta 90.00
_cell_angle_gamma 90.00
_symmetry_space_group_name_H-M 'P 42/m m c'
_symmetry_Int_Tables_number 131
_symmetry_space_group_name_Hall '-P 4c 2'
loop_
_atom_site_label
_atom_site_type_symbol
_atom_site_fract_x
_atom_site_fract_y
_atom_site_fract_z
_atom_site_occupancy
Dy1 Dy 0.000 0.253 0.000 1
Se1 Se 0.000 0.234 0.500 1
Br1 Br 0.229 0.500 0.000 1
```

---

No. 2
A relaxed structure of Dy3Se3Br. Source: Alexandria via LeMat-Bulk, functional PBE.

Raw formation energy, eV/atom: -1.66
E_tot, eV for the cell shown: -225.26

The structure in CIF format:
```
data_Dy3Se3Br
_cell_length_a 8.6702
_cell_length_b 8.6702
_cell_length_c 17.0757
_cell_angle_alpha 90.00
_cell_angle_beta 90.00
_cell_angle_gamma 120.00
_symmetry_space_group_name_H-M 'R -3'
_symmetry_Int_Tables_number 148
_symmetry_space_group_name_Hall '-R 3'
loop_
_atom_site_label
_atom_site_type_symbol
_atom_site_fract_x
_atom_site_fract_y
_atom_site_fract_z
_atom_site_occupancy
Dy1 Dy 0.0055 0.6409 0.0801 1
Se1 Se 0.0026 0.2943 0.0878 1
Br1 Br 0.0000 0.0000 0.3257 1
```

---

No. 3
A relaxed structure of DySeBr. Source: Alexandria via LeMat-Bulk, functional PBE.

Raw formation energy, eV/atom: -1.83
E_tot, eV for the cell shown: -15.26

The structure in CIF format:
```
data_DySeBr
_cell_length_a 4.1508
_cell_length_b 4.1508
_cell_length_c 6.8240
_cell_angle_alpha 90.00
_cell_angle_beta 90.00
_cell_angle_gamma 120.00
_symmetry_space_group_name_H-M 'P 3 m 1'
_symmetry_Int_Tables_number 156
loop_
_symmetry_equiv_pos_as_xyz
'x,y,z'
'-y,x-y,z'
'-x+y,-x,z'
'-y,-x,z'
'-x+y,y,z'
'x,x-y,z'
loop_
_atom_site_label
_atom_site_type_symbol
_atom_site_fract_x
_atom_site_fract_y
_atom_site_fract_z
_atom_site_occupancy
Dy1 Dy 0.0000 0.0000 0.0000 1
Se1 Se 0.3333 0.6667 0.7972 1
Br1 Br 0.6667 0.3333 0.2610 1
```

---

No. 4
A relaxed structure of DySe6Br12. Source: Alexandria via LeMat-Bulk, functional PBE.

Raw formation energy, eV/atom: -0.33
E_tot, eV for the cell shown: -155.68

The structure in CIF format:
```
data_DySe6Br12
_cell_length_a 10.9710
_cell_length_b 10.9710
_cell_length_c 20.6360
_cell_angle_alpha 90.00
_cell_angle_beta 90.00
_cell_angle_gamma 120.00
_symmetry_space_group_name_H-M 'R -3'
_symmetry_Int_Tables_number 148
_symmetry_space_group_name_Hall '-R 3'
loop_
_atom_site_label
_atom_site_type_symbol
_atom_site_fract_x
_atom_site_fract_y
_atom_site_fract_z
_atom_site_occupancy
Dy1 Dy 0.0000 0.0000 0.0000 1
Se1 Se 0.0332 0.1513 0.6502 1
Br1 Br 0.0357 0.8094 0.2461 1
Br2 Br 0.0625 0.8257 0.0777 1
```

---

No. 5
A relaxed structure of Dy2SeBr3. Source: Alexandria via LeMat-Bulk, functional PBE.

Raw formation energy, eV/atom: -1.70
E_tot, eV for the cell shown: -111.54

The structure in CIF format:
```
data_Dy2SeBr3
_cell_length_a 17.706
_cell_length_b 4.121
_cell_length_c 12.713
_cell_angle_alpha 90.00
_cell_angle_beta 126.00
_cell_angle_gamma 90.00
_symmetry_space_group_name_H-M 'C 1 2/m 1'
_symmetry_Int_Tables_number 12
loop_
_symmetry_equiv_pos_as_xyz
'x,y,z'
'-x,-y,-z'
'-x,y,-z'
'x,-y,z'
'x+1/2,y+1/2,z'
'-x+1/2,-y+1/2,-z'
'-x+1/2,y+1/2,-z'
'x+1/2,-y+1/2,z'
loop_
_atom_site_label
_atom_site_type_symbol
_atom_site_fract_x
_atom_site_fract_y
_atom_site_fract_z
_atom_site_occupancy
Dy1 Dy 0.105 0.000 0.440 1
Dy2 Dy 0.127 0.500 0.830 1
Se1 Se 0.093 0.000 0.664 1
Br1 Br 0.055 0.500 0.239 1
Br2 Br 0.170 0.000 0.028 1
Br3 Br 0.239 0.500 0.606 1
```

---

No. 6
A relaxed structure of Dy2Se2Br. Source: Alexandria via LeMat-Bulk, functional PBE.

Raw formation energy, eV/atom: -1.81
E_tot, eV for the cell shown: -107.61

The structure in CIF format:
```
data_Dy2Se2Br
_cell_length_a 12.868
_cell_length_b 5.679
_cell_length_c 8.236
_cell_angle_alpha 90.00
_cell_angle_beta 109.06
_cell_angle_gamma 90.00
_symmetry_space_group_name_H-M 'C 1 2/m 1'
_symmetry_Int_Tables_number 12
loop_
_symmetry_equiv_pos_as_xyz
'x,y,z'
'-x,-y,-z'
'-x,y,-z'
'x,-y,z'
'x+1/2,y+1/2,z'
'-x+1/2,-y+1/2,-z'
'-x+1/2,y+1/2,-z'
'x+1/2,-y+1/2,z'
loop_
_atom_site_label
_atom_site_type_symbol
_atom_site_fract_x
_atom_site_fract_y
_atom_site_fract_z
_atom_site_occupancy
Dy1 Dy 0.001 0.000 0.238 1
Dy2 Dy 0.160 0.500 0.074 1
Se1 Se 0.004 0.500 0.254 1
Se2 Se 0.172 0.000 0.090 1
Br1 Br 0.162 0.000 0.588 1
```

---

No. 7
A relaxed structure of Dy2SeBr2. Source: Alexandria via LeMat-Bulk, functional PBE.

Raw formation energy, eV/atom: -1.72
E_tot, eV for the cell shown: -49.29

The structure in CIF format:
```
data_Dy2SeBr2
_cell_length_a 7.049
_cell_length_b 4.072
_cell_length_c 11.247
_cell_angle_alpha 90.00
_cell_angle_beta 103.34
_cell_angle_gamma 90.00
_symmetry_space_group_name_H-M 'C 1 2/m 1'
_symmetry_Int_Tables_number 12
loop_
_symmetry_equiv_pos_as_xyz
'x,y,z'
'-x,-y,-z'
'-x,y,-z'
'x,-y,z'
'x+1/2,y+1/2,z'
'-x+1/2,-y+1/2,-z'
'-x+1/2,y+1/2,-z'
'x+1/2,-y+1/2,z'
loop_
_atom_site_label
_atom_site_type_symbol
_atom_site_fract_x
_atom_site_fract_y
_atom_site_fract_z
_atom_site_occupancy
Dy1 Dy 0.218 0.000 0.139 1
Se1 Se 0.000 0.500 0.000 1
Br1 Br 0.055 0.000 0.697 1
```

---

No. 8
A relaxed structure of Dy4SiBr5. Source: Alexandria via LeMat-Bulk, functional PBE.

Raw formation energy, eV/atom: -1.45
E_tot, eV for the cell shown: -93.46

The structure in CIF format:
```
data_Dy4SiBr5
_cell_length_a 18.154
_cell_length_b 4.038
_cell_length_c 8.383
_cell_angle_alpha 90.00
_cell_angle_beta 102.90
_cell_angle_gamma 90.00
_symmetry_space_group_name_H-M 'C 1 2/m 1'
_symmetry_Int_Tables_number 12
loop_
_symmetry_equiv_pos_as_xyz
'x,y,z'
'-x,-y,-z'
'-x,y,-z'
'x,-y,z'
'x+1/2,y+1/2,z'
'-x+1/2,-y+1/2,-z'
'-x+1/2,y+1/2,-z'
'x+1/2,-y+1/2,z'
loop_
_atom_site_label
_atom_site_type_symbol
_atom_site_fract_x
_atom_site_fract_y
_atom_site_fract_z
_atom_site_occupancy
Dy1 Dy 0.001 0.000 0.221 1
Dy2 Dy 0.151 0.500 0.079 1
Si1 Si 0.000 0.500 0.000 1
Br1 Br 0.000 0.500 0.500 1
Br2 Br 0.167 0.000 0.330 1
Br3 Br 0.172 0.000 0.839 1
```

---

No. 9
A relaxed structure of Dy2SiBr3. Source: Alexandria via LeMat-Bulk, functional PBE.

Raw formation energy, eV/atom: -1.32
E_tot, eV for the cell shown: -110.35

The structure in CIF format:
```
data_Dy2SiBr3
_cell_length_a 18.843
_cell_length_b 4.040
_cell_length_c 12.732
_cell_angle_alpha 90.00
_cell_angle_beta 129.32
_cell_angle_gamma 90.00
_symmetry_space_group_name_H-M 'C 1 2/m 1'
_symmetry_Int_Tables_number 12
loop_
_symmetry_equiv_pos_as_xyz
'x,y,z'
'-x,-y,-z'
'-x,y,-z'
'x,-y,z'
'x+1/2,y+1/2,z'
'-x+1/2,-y+1/2,-z'
'-x+1/2,y+1/2,-z'
'x+1/2,-y+1/2,z'
loop_
_atom_site_label
_atom_site_type_symbol
_atom_site_fract_x
_atom_site_fract_y
_atom_site_fract_z
_atom_site_occupancy
Dy1 Dy 0.111 0.000 0.441 1
Dy2 Dy 0.126 0.500 0.817 1
Si1 Si 0.059 0.000 0.617 1
Br1 Br 0.045 0.500 0.229 1
Br2 Br 0.176 0.000 0.025 1
Br3 Br 0.243 0.500 0.616 1
```

---

No. 10
A relaxed structure of Dy7SiBr12. Source: Alexandria via LeMat-Bulk, functional PBE.

Raw formation energy, eV/atom: -1.61
E_tot, eV for the cell shown: -269.46

The structure in CIF format:
```
data_Dy7SiBr12
_cell_length_a 14.7705
_cell_length_b 14.7705
_cell_length_c 9.8821
_cell_angle_alpha 90.00
_cell_angle_beta 90.00
_cell_angle_gamma 120.00
_symmetry_space_group_name_H-M 'R -3'
_symmetry_Int_Tables_number 148
_symmetry_space_group_name_Hall '-R 3'
loop_
_atom_site_label
_atom_site_type_symbol
_atom_site_fract_x
_atom_site_fract_y
_atom_site_fract_z
_atom_site_occupancy
Dy1 Dy 0.0000 0.0000 0.0000 1
Dy2 Dy 0.0465 0.1674 0.3469 1
Si1 Si 0.0000 0.0000 0.5000 1
Br1 Br 0.0230 0.5866 0.1640 1
Br2 Br 0.0495 0.1790 0.8391 1
```

---

No. 11
A relaxed structure of Dy4Si2Br5. Source: Alexandria via LeMat-Bulk, functional PBE.

Raw formation energy, eV/atom: -1.26
E_tot, eV for the cell shown: -102.97

The structure in CIF format:
```
data_Dy4Si2Br5
_cell_length_a 22.546
_cell_length_b 3.960
_cell_length_c 8.123
_cell_angle_alpha 90.00
_cell_angle_beta 94.97
_cell_angle_gamma 90.00
_symmetry_space_group_name_H-M 'C 1 2/m 1'
_symmetry_Int_Tables_number 12
loop_
_symmetry_equiv_pos_as_xyz
'x,y,z'
'-x,-y,-z'
'-x,y,-z'
'x,-y,z'
'x+1/2,y+1/2,z'
'-x+1/2,-y+1/2,-z'
'-x+1/2,y+1/2,-z'
'x+1/2,-y+1/2,z'
loop_
_atom_site_label
_atom_site_type_symbol
_atom_site_fract_x
_atom_site_fract_y
_atom_site_fract_z
_atom_site_occupancy
Dy1 Dy 0.018 0.000 0.287 1
Dy2 Dy 0.162 0.500 0.445 1
Si1 Si 0.050 0.500 0.544 1
Br1 Br 0.000 0.500 0.000 1
Br2 Br 0.141 0.000 0.191 1
Br3 Br 0.214 0.000 0.674 1
```

---

| no. | ρ (g/cm3) |
| --- | --- |
| 1 | 5.3 |
| 2 | 7.2 |
| 3 | 5.2 |
| 4 | 3.7 |
| 5 | 5.7 |
| 6 | 6.6 |
| 7 | 6.0 |
| 8 | 6.0 |
| 9 | 5.3 |
| 10 | 5.7 |
| 11 | 5.1 |